# 1
This record from Alexandria describes a relaxed structure of CdSi3B. The functional is PBE.

Computed properties:
Energy = -4.0570 eV/atom
Spin magnetization = 0.00 μB/f.u.
E above lowest polymorph = 0.000 kcal/mol of atoms

Cell: 4.2727 4.2727 4.2727 Å, 90.00 90.00 90.00°
Closest atoms and distances in Å follow each position.
Fractional coordinates of all 5 atoms:
Si: 0.0000 0.5000 0.0000  2 B 2.14
Si: 0.0000 0.0000 0.5000  2 B 2.14
Si: 0.5000 0.0000 0.0000  2 B 2.14
B: 0.0000 0.0000 0.0000  6 Si 2.14
Cd: 0.5000 0.5000 0.5000  12 Si 3.02

# 2
This record from Alexandria describes a relaxed structure of Rb6PbAu2. The functional is PBE.

Computed properties:
Energy = -1.9446 eV/atom
Calculated formation energy = -138 kJ/mol of formula units
Spin magnetization = 0.00 μB/f.u.

Cell: 10.5028 10.5028 10.5028 Å, 101.87 112.68 114.13°
Closest atoms and distances in Å follow each position.
Fractional coordinates of all 18 atoms:
Rb: 0.5269 0.8211 0.7058  3 Au 3.53-3.58
Rb: 0.4731 0.1789 0.2942  3 Au 3.53-3.58
Rb: 0.1153 0.8211 0.2942  3 Au 3.53-3.58
Rb: 0.8847 0.1789 0.7058  3 Au 3.53-3.58
Rb: 0.8161 0.0683 0.2522  1 Au 3.48, 1 Pb 3.89
Rb: 0.1839 0.9317 0.7478  1 Au 3.48, 1 Pb 3.89
Rb: 0.1839 0.4361 0.2522  1 Au 3.48, 1 Pb 3.89
Rb: 0.8161 0.5639 0.7478  1 Au 3.48, 1 Pb 3.89
Rb: 0.6750 0.3494 0.0243  3 Au 3.65-3.88, 2 Rb 3.99-4.07
Rb: 0.3250 0.6506 0.9757  3 Au 3.65-3.88, 2 Rb 3.99-4.07
Rb: 0.3250 0.3494 0.6744  3 Au 3.65-3.88, 2 Rb 3.99-4.07
Rb: 0.6750 0.6506 0.3256  3 Au 3.65-3.88, 2 Rb 3.99-4.07
Pb: 0.0000 0.5000 0.5000  8 Rb 3.89-4.28
Pb: 0.0000 0.0000 0.0000  2 Au 3.08
Au: 0.5000 0.1208 0.6208  1 Au 3.20, 4 Rb 3.53
Au: 0.5000 0.8792 0.3792  1 Au 3.20, 4 Rb 3.53
Au: 0.7302 0.7302 0.0000  1 Pb 3.08
Au: 0.2698 0.2698 0.0000  1 Pb 3.08

# 3
This record from Alexandria describes a relaxed structure of Tl9Sb4Au. The functional is PBE.

Computed properties:
Energy = -2.8739 eV/atom
Spin magnetization = 0.00 μB/f.u.

Cell: 10.7736 9.6539 9.6539 Å, 120.00 90.00 90.00°
Closest atoms and distances in Å follow each position.
Fractional coordinates of all 28 atoms:
Tl: 0.0435 0.7952 0.5905  1 Au 3.09, 1 Sb 3.46
Tl: 0.0435 0.7952 0.2048  1 Au 3.09, 1 Sb 3.46
Tl: 0.0435 0.4095 0.2048  1 Au 3.09, 1 Sb 3.46
Tl: 0.9565 0.2048 0.4095  1 Au 3.09, 1 Sb 3.46
Tl: 0.9565 0.2048 0.7952  1 Au 3.09, 1 Sb 3.46
Tl: 0.9565 0.5905 0.7952  1 Au 3.09, 1 Sb 3.46
Tl: 0.5435 0.2048 0.4095  1 Au 3.09, 1 Sb 3.46
Tl: 0.5435 0.2048 0.7952  1 Au 3.09, 1 Sb 3.46
Tl: 0.5435 0.5905 0.7952  1 Au 3.09, 1 Sb 3.46
Tl: 0.4565 0.7952 0.5905  1 Au 3.09, 1 Sb 3.46
Tl: 0.4565 0.7952 0.2048  1 Au 3.09, 1 Sb 3.46
Tl: 0.4565 0.4095 0.2048  1 Au 3.09, 1 Sb 3.46
Tl: 0.2500 0.4696 0.9392  2 Sb 3.28, 1 Au 3.29, 4 Tl 3.65
Tl: 0.2500 0.4696 0.5304  2 Sb 3.28, 1 Au 3.29, 4 Tl 3.65
Tl: 0.2500 0.0608 0.5304  2 Sb 3.28, 1 Au 3.29, 4 Tl 3.65
Tl: 0.7500 0.5304 0.0608  2 Sb 3.28, 1 Au 3.29, 4 Tl 3.65
Tl: 0.7500 0.5304 0.4696  2 Sb 3.28, 1 Au 3.29, 4 Tl 3.65
Tl: 0.7500 0.9392 0.4696  2 Sb 3.28, 1 Au 3.29, 4 Tl 3.65
Sb: 0.2500 0.1087 0.2175  4 Sb 3.15-3.25, 2 Tl 3.28
Sb: 0.2500 0.1087 0.8913  4 Sb 3.15-3.25, 2 Tl 3.28
Sb: 0.2500 0.7825 0.8913  4 Sb 3.15-3.25, 2 Tl 3.28
Sb: 0.7500 0.8913 0.7825  4 Sb 3.15-3.25, 2 Tl 3.28
Sb: 0.7500 0.8913 0.1087  4 Sb 3.15-3.25, 2 Tl 3.28
Sb: 0.7500 0.2175 0.1087  4 Sb 3.15-3.25, 2 Tl 3.28
Sb: 0.0000 0.0000 0.0000  6 Sb 3.25, 6 Tl 3.46
Sb: 0.5000 0.0000 0.0000  6 Sb 3.25, 6 Tl 3.46
Au: 0.2500 0.6667 0.3333  9 Tl 3.09-3.29
Au: 0.7500 0.3333 0.6667  9 Tl 3.09-3.29

# 4
This record from Alexandria describes a relaxed structure of CsTiSi3. The functional is PBE.

Computed properties:
Energy = -2.5418 eV/atom
Spin magnetization = 0.00 μB/f.u.
E above lowest polymorph = 49.677 kcal/mol of atoms

Cell: 5.2648 5.2648 5.2648 Å, 90.00 90.00 90.00°
Closest atoms and distances in Å follow each position.
Fractional coordinates of all 5 atoms:
Cs: 0.0000 0.0000 0.0000  6 Si 2.63
Si: 0.0000 0.5000 0.0000  2 Cs 2.63
Si: 0.0000 0.0000 0.5000  2 Cs 2.63
Si: 0.5000 0.0000 0.0000  2 Cs 2.63
Ti: 0.5000 0.5000 0.5000  12 Si 3.72

# 5
This record from Alexandria describes a relaxed structure of NaCeHgSb. The functional is PBE.

Computed properties:
Energy = -3.4170 eV/atom
Spin magnetization = 1.45 μB/f.u.

Cell: 5.3646 5.3646 5.3646 Å, 60.00 60.00 60.00°
Closest atoms and distances in Å follow each position.
Fractional coordinates of all 4 atoms:
Sb: 0.7500 0.7500 0.7500  4 Ce 3.29, 4 Na 3.29
Hg: 0.2500 0.2500 0.2500  4 Ce 3.29, 4 Na 3.29
Ce: 0.0000 0.0000 0.0000  4 Hg 3.29, 4 Sb 3.29
Na: 0.5000 0.5000 0.5000  4 Sb 3.29, 4 Hg 3.29

# 6
This record from Alexandria describes a relaxed structure of LaDy8Tm6. The functional is PBE.

Computed properties:
Energy = -4.4298 eV/atom
Calculated formation energy = 205 kJ/mol of formula units
Spin magnetization = 0.00 μB/f.u.
E above lowest polymorph = 0.000 kcal/mol of atoms

Cell: 8.9538 8.9538 8.5934 Å, 58.60 58.60 60.00°
Closest atoms and distances in Å follow each position.
Fractional coordinates of all 15 atoms:
La: 0.0000 0.0000 0.0000  6 Tm 3.45, 6 Dy 3.51
Dy: 0.2533 0.2819 0.5762  3 Tm 3.38-3.77, 5 Dy 3.38-3.40, 1 La 3.51
Dy: 0.7181 0.1114 0.4238  3 Tm 3.38-3.77, 5 Dy 3.38-3.40, 1 La 3.51
Dy: 0.1114 0.7467 0.4238  3 Tm 3.38-3.77, 5 Dy 3.38-3.40, 1 La 3.51
Dy: 0.5770 0.5770 0.2690  4 Dy 3.17-3.38, 3 Tm 3.33
Dy: 0.4230 0.4230 0.7310  4 Dy 3.17-3.38, 3 Tm 3.33
Dy: 0.8886 0.2533 0.5762  3 Tm 3.38-3.77, 5 Dy 3.38-3.40, 1 La 3.51
Dy: 0.2819 0.8886 0.5762  3 Tm 3.38-3.77, 5 Dy 3.38-3.40, 1 La 3.51
Dy: 0.7467 0.7181 0.4238  3 Tm 3.38-3.77, 5 Dy 3.38-3.40, 1 La 3.51
Tm: 0.4650 0.8972 0.8786  3 Dy 3.33-3.39, 2 Tm 3.42, 1 La 3.45
Tm: 0.1028 0.2408 0.1214  3 Dy 3.33-3.39, 2 Tm 3.42, 1 La 3.45
Tm: 0.2408 0.5350 0.1214  3 Dy 3.33-3.39, 2 Tm 3.42, 1 La 3.45
Tm: 0.7592 0.4650 0.8786  3 Dy 3.33-3.39, 2 Tm 3.42, 1 La 3.45
Tm: 0.8972 0.7592 0.8786  3 Dy 3.33-3.39, 2 Tm 3.42, 1 La 3.45
Tm: 0.5350 0.1028 0.1214  3 Dy 3.33-3.39, 2 Tm 3.42, 1 La 3.45